TbTm7Sc3: relaxed, PBE-GGA.

Calculated values
energy of formation = 0.225 eV per atom
ΔE to the lowest computed polymorph = 0.00 kJ per mole of atoms
size of the total moment = 0.008 μB/cell
volume = 334.6 Å³ per cell
uncorrected energy = -4.769 eV/atom

abc: 8.1880 6.8689 6.8689
angles: 120.00 90.00 90.00
Closest atoms and distances in Å follow each position.
Atoms (fractional coordinates):
Tm  0.4576  0.8319  0.1681  2 Sc 3.32, 7 Tm 3.41-3.49, 2 Tb 3.43
Tm  0.1085  0.1681  0.3361  2 Sc 3.31, 8 Tm 3.41-3.49, 1 Tb 3.42
Tm  0.1151  0.6667  0.3333  3 Sc 3.36, 9 Tm 3.42-3.43
Tm  0.1085  0.1681  0.8319  2 Sc 3.31, 8 Tm 3.41-3.49, 1 Tb 3.42
Tm  0.4576  0.8319  0.6639  2 Sc 3.32, 7 Tm 3.41-3.49, 2 Tb 3.43
Tm  0.4576  0.3361  0.1681  2 Sc 3.32, 7 Tm 3.41-3.49, 2 Tb 3.43
Tm  0.1085  0.6639  0.8319  2 Sc 3.31, 8 Tm 3.41-3.49, 1 Tb 3.42
Tb  0.4505  0.3333  0.6667  3 Sc 3.38, 9 Tm 3.42-3.43
Sc  0.7838  0.9990  0.4995  5 Tm 3.31-3.36, 1 Tb 3.38, 4 Sc 3.42-3.44
Sc  0.7838  0.5005  0.0010  5 Tm 3.31-3.36, 1 Tb 3.38, 4 Sc 3.42-3.44
Sc  0.7838  0.5005  0.4995  5 Tm 3.31-3.36, 1 Tb 3.38, 4 Sc 3.42-3.44